Below is Pr2SnGe4Rh3 after structural relaxation, with properties calculated at the PBE-GGA level.

a = 4.333 Å, b = 4.333 Å, c = 10.534 Å
α = 90.00°, β = 90.00°, γ = 90.00°
Atoms (fractional coordinates):
Pr 0.000 0.500 0.235
Pr 0.500 0.000 0.765
Sn 0.000 0.000 0.500
Ge 0.000 0.000 0.000
Ge 0.000 0.500 0.657
Ge 0.500 0.000 0.343
Ge 0.500 0.500 0.000
Rh 0.000 0.500 0.885
Rh 0.500 0.000 0.115
Rh 0.500 0.500 0.500

- raw total energy (eV per cell) = -61.29
- magnetic moment (μB per cell) = 0.0
- symmetry = No. 115
- formation energy from the elements (eV per atom) = -0.72

---

Below is Na2Bi2Cl after structural relaxation, with properties calculated at the PBE-GGA level.

a = 6.319 Å, b = 6.319 Å, c = 6.319 Å
α = 120.49°, β = 120.49°, γ = 89.16°
Atoms (fractional coordinates):
Na 0.250 0.750 0.500
Na 0.750 0.250 0.500
Bi 0.161 0.161 0.000
Bi 0.839 0.839 0.000
Cl 0.500 0.500 0.000

- raw total energy (eV per cell) = -13.40
- magnetic moment (μB per cell) = 0.0
- symmetry = No. 139
- polymorph energy (0 for the lowest one) (meV/atom) = 238

---

Below is PtF4 after structural relaxation, with properties calculated at the PBE-GGA level.

a = 5.108 Å, b = 5.108 Å, c = 5.108 Å
α = 94.36°, β = 94.36°, γ = 147.99°
Atoms (fractional coordinates):
Pt 0.000 0.000 0.000
F 0.265 0.462 0.727
F 0.462 0.735 0.197
F 0.538 0.265 0.803
F 0.735 0.538 0.273

- raw total energy (eV per cell) = -16.60
- magnetic moment (μB per cell) = 1.9
- symmetry = No. 87
- polymorph energy (0 for the lowest one) (meV/atom) = 613

---

Below is Li2InGa2 after structural relaxation, with properties calculated at the PBE-GGA level.

a = 7.003 Å, b = 7.003 Å, c = 7.003 Å
α = 147.72°, β = 147.72°, γ = 46.30°
Atoms (fractional coordinates):
Li 0.250 0.750 0.500
Li 0.750 0.250 0.500
In 0.000 0.000 0.000
Ga 0.400 0.400 0.000
Ga 0.600 0.600 0.000

- raw total energy (eV per cell) = -13.16
- magnetic moment (μB per cell) = 0.0
- symmetry = No. 139
- formation energy from the elements (eV per atom) = -0.11
- polymorph energy (0 for the lowest one) (meV/atom) = 100

---

Below is SiNi2Os after structural relaxation, with properties calculated at the PBE-GGA level.

a = 2.595 Å, b = 2.595 Å, c = 7.954 Å
α = 90.00°, β = 90.00°, γ = 113.20°
Atoms (fractional coordinates):
Si 0.000 0.000 0.000
Ni 0.500 0.500 0.223
Ni 0.500 0.500 0.777
Os 0.000 0.000 0.500

- raw total energy (eV per cell) = -27.94
- magnetic moment (μB per cell) = 0.0
- symmetry = No. 65

---

Below is KNpAuI6 after structural relaxation, with properties calculated at the PBE-GGA level.

a = 7.757 Å, b = 7.757 Å, c = 15.763 Å
α = 90.00°, β = 90.00°, γ = 120.00°
Atoms (fractional coordinates):
K 0.000 0.000 0.000
K 0.000 0.000 0.500
Np 0.333 0.667 0.250
Np 0.667 0.333 0.750
Au 0.333 0.667 0.750
Au 0.667 0.333 0.250
I 0.001 0.365 0.138
I 0.001 0.636 0.362
I 0.364 0.365 0.362
I 0.364 0.999 0.138
I 0.365 0.001 0.638
I 0.365 0.364 0.862
I 0.635 0.636 0.138
I 0.635 0.999 0.362
I 0.636 0.001 0.862
I 0.636 0.635 0.638
I 0.999 0.364 0.638
I 0.999 0.635 0.862

- raw total energy (eV per cell) = -65.78
- magnetic moment (μB per cell) = 5.9
- symmetry = No. 163

---

Below is Ba2AsF after structural relaxation, with properties calculated at the PBE-GGA level.

a = 5.479 Å, b = 5.479 Å, c = 5.479 Å
α = 60.00°, β = 60.00°, γ = 60.00°
Atoms (fractional coordinates):
Ba 0.250 0.250 0.250
Ba 0.750 0.750 0.750
As 0.000 0.000 0.000
F 0.500 0.500 0.500

- raw total energy (eV per cell) = -17.86
- magnetic moment (μB per cell) = 0.0
- symmetry = No. 225
- polymorph energy (0 for the lowest one) (meV/atom) = 161

---

Below is InAsS3 after structural relaxation, with properties calculated at the PBE-GGA level.

a = 4.792 Å, b = 4.792 Å, c = 4.792 Å
α = 90.00°, β = 90.00°, γ = 90.00°
Atoms (fractional coordinates):
In 0.000 0.000 0.000
As 0.500 0.500 0.500
S 0.000 0.500 0.500
S 0.500 0.000 0.500
S 0.500 0.500 0.000

- raw total energy (eV per cell) = -18.58
- magnetic moment (μB per cell) = 0.0
- symmetry = No. 221

---

Below is LiMgRe after structural relaxation, with properties calculated at the PBE-GGA level.

a = 2.740 Å, b = 4.392 Å, c = 8.293 Å
α = 90.00°, β = 90.64°, γ = 90.00°
Atoms (fractional coordinates):
Li 0.119 0.250 0.403
Li 0.881 0.750 0.597
Mg 0.493 0.750 0.249
Mg 0.507 0.250 0.751
Re 0.121 0.750 0.936
Re 0.879 0.250 0.064

- raw total energy (eV per cell) = -31.06
- magnetic moment (μB per cell) = 0.0
- symmetry = No. 11
- formation energy from the elements (eV per atom) = 0.14
- polymorph energy (0 for the lowest one) (meV/atom) = 89

---

Below is CsSmTe2Au after structural relaxation, with properties calculated at the PBE-GGA level.

a = 9.320 Å, b = 4.993 Å, c = 8.604 Å
α = 90.00°, β = 97.81°, γ = 90.00°
Atoms (fractional coordinates):
Cs 0.000 0.161 0.250
Cs 0.000 0.839 0.750
Sm 0.500 0.496 0.750
Sm 0.500 0.504 0.250
Te 0.270 0.334 0.968
Te 0.270 0.666 0.468
Te 0.730 0.334 0.532
Te 0.730 0.666 0.032
Au 0.500 0.000 0.000
Au 0.500 0.000 0.500

- raw total energy (eV per cell) = -39.27
- magnetic moment (μB per cell) = 0.0
- symmetry = No. 13

---

Below is LaTmThMg after structural relaxation, with properties calculated at the PBE-GGA level.

a = 5.587 Å, b = 5.587 Å, c = 5.587 Å
α = 60.00°, β = 60.00°, γ = 60.00°
Atoms (fractional coordinates):
La 0.000 0.000 0.000
Tm 0.750 0.750 0.750
Th 0.500 0.500 0.500
Mg 0.250 0.250 0.250

- raw total energy (eV per cell) = -18.09
- magnetic moment (μB per cell) = 0.0
- symmetry = No. 216
- formation energy from the elements (eV per atom) = 0.08
- polymorph energy (0 for the lowest one) (meV/atom) = 125